DFT (GGA-PBE) results for a relaxed CePmGdAg crystal.

Cell: 7.6328 7.6328 7.6328 Å, 90.00 90.00 90.00°
With the nearest neighbours (Å) after each atom.
Space group F-43m (No. 216)
Unique sites:
Ce 0.0000 0.0000 0.0000 [4 per cell]  4 Pm 3.31, 4 Ag 3.31
Pm 0.2500 0.2500 0.2500 [4 per cell]  4 Gd 3.31, 4 Ce 3.31
Gd 0.0000 0.0000 0.5000 [4 per cell]  4 Pm 3.31, 4 Ag 3.31
Ag 0.2500 0.2500 0.7500 [4 per cell]  4 Gd 3.31, 4 Ce 3.31

Output
Formation energy from the elements ... 0.39 eV/f.u.
Fermi-level density of states ... 24.12 states/eV/cell
Total magnetic moment ... 10.05 μB/f.u.